VASP calculation (PBE) on a relaxed Pm5Er2Ga4 crystal.

Calculated values
The calculation puts the formation enthalpy at 0 K at 3.236 eV/f.u. The total magnetic moment is 0.01 μB per formula unit.

Lattice parameters (Å, degrees): 3.477 7.251 16.163 102.96 96.17 90.00
Sites, in units of the cell vectors:
Ga 0.000 0.331 0.000
Ga 0.261 0.261 0.522
Ga 0.000 0.669 0.000
Ga 0.739 0.739 0.478
Pm 0.185 0.936 0.370
Pm 0.815 0.064 0.630
Pm 0.500 0.000 0.000
Pm 0.815 0.566 0.630
Pm 0.185 0.434 0.370
Er 0.913 0.913 0.826
Er 0.087 0.087 0.174